First-principles (PBE-GGA) data for a relaxed RbNa3Mg crystal, as listed in Alexandria.

Values from the calculation:
Its energy of formation is 0.618 eV per atom.

a b c (Å): 6.601 6.601 6.601
angles (deg): 90.00 90.00 90.00
Space group Pm-3m (No. 221)
Inequivalent atoms, fractional coordinates:
Rb 0.000 0.000 0.000 x1
Na 0.000 0.000 0.500 x3
Mg 0.500 0.500 0.500 x1